No. 1
A plane-wave DFT calculation with GGA-PBE was carried out for a geometry-optimized Pr2BrN structure.

```
Pr2BrN
1.0
-2.335 -2.488 -1.576
1.368 -3.136 -1.557
-0.973 -5.404 5.491
Pr Br N
2 1 1
Cartesian
-0.856 -4.771 4.319
-0.441 -2.517 0.144
-0.971 -5.520 1.190
-1.615 -9.138 3.375
```

## Properties
Total magnetic moment   0.00 μB/f.u.
N(E_F)   1.1 states/eV/f.u.
Symmetry   R3m
E_form (uncorrected)   -1.37 eV per atom

No. 2
A plane-wave DFT calculation with GGA-PBE was carried out for a geometry-optimized Pr2Br2N structure.

```
Pr2Br2N
1.0
4.126 0.000 0.000
0.000 7.861 -0.116
-2.063 -1.381 10.352
Pr Br N
4 4 2
Cartesian
0.000 6.267 3.549
2.063 0.213 6.687
0.000 3.490 6.576
2.063 2.990 3.661
0.000 1.183 2.187
2.063 5.297 8.049
0.000 1.083 8.673
2.063 5.397 1.563
0.000 4.160 4.333
2.063 2.320 5.903
```

## Properties
Total magnetic moment   1.00 μB/f.u.
N(E_F)   0.7 states/eV/f.u.
Symmetry   C2/m
E_form (uncorrected)   -1.54 eV per atom

No. 3
A plane-wave DFT calculation with GGA-PBE was carried out for a geometry-optimized Pr3Br3N structure.

```
Pr3Br3N
1.0
3.879 0.000 0.000
0.000 8.551 -0.408
0.000 0.037 11.545
Pr Br N
6 6 2
Cartesian
0.970 2.688 7.050
2.909 5.900 4.087
0.970 7.840 6.601
2.909 0.748 4.536
0.970 7.514 1.574
2.909 1.073 9.563
0.970 3.271 4.062
2.909 5.317 7.076
0.970 7.378 9.776
2.909 1.209 1.361
0.970 3.310 9.966
2.909 5.278 1.171
0.970 7.557 4.070
2.909 1.030 7.067
```

## Properties
Total magnetic moment   0.00 μB/f.u.
N(E_F)   2.4 states/eV/f.u.
Symmetry   P2_1/m
E_form (uncorrected)   -1.54 eV per atom

No. 4
A plane-wave DFT calculation with GGA-PBE was carried out for a geometry-optimized Pr7Br12N structure.

```
Pr7Br12N
1.0
8.892 -0.184 -2.702
-3.595 8.135 -2.702
-0.123 -0.184 9.292
Pr Br N
7 12 1
Cartesian
6.000 5.332 3.838
2.317 0.771 -0.807
0.762 0.177 2.450
2.587 3.883 1.945
4.412 7.590 1.439
2.858 6.995 4.696
-0.825 2.435 0.051
6.974 2.237 3.841
5.278 1.710 -1.742
3.590 1.075 1.914
5.275 4.734 0.973
1.658 0.469 5.554
3.444 4.040 4.796
1.730 3.727 -0.907
3.517 7.298 -1.665
-0.100 3.032 2.916
1.585 6.692 1.975
-0.103 6.056 5.631
-1.800 5.529 0.048
0.000 0.000 0.000
```

## Properties
Total magnetic moment   0.00 μB/f.u.
N(E_F)   11.8 states/eV/f.u.
Symmetry   R-3
E_form (uncorrected)   -1.69 eV per atom

No. 5
A plane-wave DFT calculation with GGA-PBE was carried out for a geometry-optimized PrBr4N2 structure.

```
PrBr4N2
1.0
4.332 0.000 -0.724
-0.301 6.486 -1.800
-0.590 -0.659 9.784
Pr Br N
1 4 2
Cartesian
0.000 0.000 0.000
0.016 4.263 0.094
3.425 1.564 7.165
1.013 4.674 6.057
2.428 1.153 1.202
0.746 1.356 4.462
2.694 4.471 2.797
```

## Properties
Total magnetic moment   7.00 μB/f.u.
Symmetry   C2/m
E_form (uncorrected)   0.52 eV per atom

No. 6
A plane-wave DFT calculation with GGA-PBE was carried out for a geometry-optimized Pr3Br2N2 structure.

```
Pr3Br2N2
1.0
3.667 -0.001 0.001
-1.823 6.237 -0.136
-0.003 -1.125 7.618
Pr Br N
3 2 2
Cartesian
0.000 0.000 0.000
1.838 3.190 1.439
0.003 1.922 6.045
1.837 4.058 4.619
0.004 1.053 2.865
1.833 0.655 7.135
0.008 4.457 0.348
```

## Properties
Total magnetic moment   0.00 μB/f.u.
N(E_F)   2.0 states/eV/f.u.
Symmetry   P-1
E_form (uncorrected)   -1.48 eV per atom

Which of these has the lowest E_form (uncorrected)? Pr7Br12N

Which of these has the lowest E_form (uncorrected)? Pr7Br12N

Among the records above, which one has the highest E_form (uncorrected)? PrBr4N2